No. 1
Computed, not measured: FeIrAu2 after structural relaxation at the GGA-PBEsol level of DFT.

energy above the most stable polymorph in this dataset = 0 meV/atom
symmetry = Cm (8)
E_form = 243 meV/atom

Cell lengths 9.1409, 2.8202, 4.7574 Å; angles 90.00, 102.28, 90.00 degrees
With the nearest neighbours (Å) after each atom.
Sites, in units of the cell vectors:
Fe1 0.0000 0.0000 0.0000  3 Ir 2.58-2.84, 7 Au 2.70-2.83, 2 Fe 2.82
Fe2 0.5000 0.5000 0.0000  3 Ir 2.58-2.84, 7 Au 2.70-2.83, 2 Fe 2.82
Ir1 0.2335 0.5000 0.2161  3 Fe 2.58-2.84, 7 Au 2.71-2.83, 2 Ir 2.82
Ir2 0.7335 0.0000 0.2161  3 Fe 2.58-2.84, 7 Au 2.71-2.83, 2 Ir 2.82
Au1 0.2508 0.0000 0.7373  4 Ir 2.71-2.83, 5 Au 2.73-2.82, 3 Fe 2.74-2.83
Au2 0.4902 0.0000 0.4798  4 Fe 2.70-2.83, 5 Au 2.73-2.82, 3 Ir 2.78-2.80
Au3 0.7508 0.5000 0.7373  4 Ir 2.71-2.83, 5 Au 2.73-2.82, 3 Fe 2.74-2.83
Au4 0.9902 0.5000 0.4798  4 Fe 2.70-2.83, 5 Au 2.73-2.82, 3 Ir 2.78-2.80



No. 2
Computed, not measured: YTl3Se after structural relaxation at the GGA-PBEsol level of DFT.

symmetry = Pm-3m (221)
raw formation energy = 0.3640 eV per atom

Cell lengths 5.4669, 5.4669, 5.4669 Å; angles 90.00, 90.00, 90.00 degrees
With the nearest neighbours (Å) after each atom.
Sites, in units of the cell vectors:
Y1 0.0000 0.0000 0.0000  12 Tl 3.87
Tl1 0.0000 0.5000 0.5000  2 Se 2.73
Tl2 0.5000 0.0000 0.5000  2 Se 2.73
Tl3 0.5000 0.5000 0.0000  2 Se 2.73
Se1 0.5000 0.5000 0.5000  6 Tl 2.73



No. 3
Computed, not measured: MgSc2Tl2 after structural relaxation at the GGA-PBEsol level of DFT.

symmetry = P4/mbm (127)
E_form = -268 meV/atom

Cell lengths 7.5889, 7.5889, 4.0179 Å; angles 90.00, 90.00, 90.00 degrees
With the nearest neighbours (Å) after each atom.
Sites, in units of the cell vectors:
Mg1 0.0000 0.0000 0.0000  4 Tl 2.94
Mg2 0.5000 0.5000 0.0000  4 Tl 2.94
Sc1 0.1677 0.3323 0.5000  6 Tl 2.90-3.07
Sc2 0.3323 0.8323 0.5000  6 Tl 2.90-3.07
Sc3 0.6677 0.1677 0.5000  6 Tl 2.90-3.07
Sc4 0.8323 0.6677 0.5000  6 Tl 2.90-3.07
Tl1 0.1370 0.6370 0.0000  6 Sc 2.90-3.07, 1 Tl 2.94, 2 Mg 2.94
Tl2 0.3630 0.1370 0.0000  6 Sc 2.90-3.07, 1 Tl 2.94, 2 Mg 2.94
Tl3 0.6370 0.8630 0.0000  6 Sc 2.90-3.07, 1 Tl 2.94, 2 Mg 2.94
Tl4 0.8630 0.3630 0.0000  6 Sc 2.90-3.07, 1 Tl 2.94, 2 Mg 2.94



No. 4
Computed, not measured: CuSi2Ni after structural relaxation at the GGA-PBEsol level of DFT.

symmetry = F-43m (216)
raw formation energy = 0.1254 eV per atom

Cell lengths 5.7833, 5.7833, 5.7833 Å; angles 90.00, 90.00, 90.00 degrees
With the nearest neighbours (Å) after each atom.
Sites, in units of the cell vectors:
Cu1 0.0000 0.0000 0.0000  4 Ni 2.50, 4 Si 2.50
Cu2 0.0000 0.5000 0.5000  4 Ni 2.50, 4 Si 2.50
Cu3 0.5000 0.0000 0.5000  4 Ni 2.50, 4 Si 2.50
Cu4 0.5000 0.5000 0.0000  4 Ni 2.50, 4 Si 2.50
Si1 0.0000 0.0000 0.5000  4 Ni 2.50, 4 Si 2.50
Si2 0.0000 0.5000 0.0000  4 Ni 2.50, 4 Si 2.50
Si3 0.2500 0.2500 0.7500  4 Cu 2.50, 4 Si 2.50
Si4 0.2500 0.7500 0.2500  4 Cu 2.50, 4 Si 2.50
Si5 0.5000 0.0000 0.0000  4 Ni 2.50, 4 Si 2.50
Si6 0.5000 0.5000 0.5000  4 Ni 2.50, 4 Si 2.50
Si7 0.7500 0.2500 0.2500  4 Cu 2.50, 4 Si 2.50
Si8 0.7500 0.7500 0.7500  4 Cu 2.50, 4 Si 2.50
Ni1 0.2500 0.2500 0.2500  4 Cu 2.50, 4 Si 2.50
Ni2 0.2500 0.7500 0.7500  4 Cu 2.50, 4 Si 2.50
Ni3 0.7500 0.2500 0.7500  4 Cu 2.50, 4 Si 2.50
Ni4 0.7500 0.7500 0.2500  4 Cu 2.50, 4 Si 2.50